Entry 1:
8
Lattice="-3.4305 3.4305 2.8797 3.4305 -3.4305 2.8797 3.4305 3.4305 -2.8797" Properties=species:S:1:pos:R:3 comment="GGA-PBE ZrCo2Hg, optimized geometry" formation_enthalpy_0k_mev_per_atom=431 dos_at_fermi_per_ev_cell=2.33 magnetic_moment_mub_per_fu=0.00 spacegroup="I-42d (122)" pbc="T T T"
Zr 0.0000 0.0000 0.0000
Zr 0.0000 3.4305 1.4399
Co 5.1458 1.6278 -0.7199
Co 1.6278 1.7153 0.7199
Co -1.7153 1.8027 2.1598
Co 1.8027 1.7153 3.5997
Hg 3.4305 0.0000 1.4399
Hg 0.0000 0.0000 2.8797


Entry 2:
16
Lattice="12.0322 0.0000 0.0000 0.0000 9.4529 0.0000 0.0000 0.0000 5.4807" Properties=species:S:1:pos:R:3 comment="GGA-PBE PaI3Cl4, optimized geometry" dos_at_fermi_per_ev_cell=5.51 e_form_raw_ev_per_fu=-8.69 magnetic_moment_mub_per_fu=0.00 spacegroup="Pmn2_1 (31)" pbc="T T T"
Pa 0.0000 1.7771 0.0000
Pa 6.0161 7.6757 2.7404
I 0.0000 4.6243 4.1394
I 1.9063 4.5255 1.4281
I 4.1098 4.9274 4.1685
I 6.0161 4.8285 1.3991
I 7.9224 4.9274 4.1685
I 10.1259 4.5255 1.4281
Cl 0.0000 1.3579 2.6117
Cl 0.0000 8.7289 5.4440
Cl 2.4461 1.5329 5.0040
Cl 3.5700 7.9200 2.2637
Cl 6.0161 0.7239 2.7036
Cl 6.0161 8.0950 5.3520
Cl 8.4622 7.9200 2.2637
Cl 9.5861 1.5329 5.0040


What did the second record say?
16
Lattice="12.0322 0.0000 0.0000 0.0000 9.4529 0.0000 0.0000 0.0000 5.4807" Properties=species:S:1:pos:R:3 comment="GGA-PBE PaI3Cl4, optimized geometry" dos_at_fermi_per_ev_cell=5.51 e_form_raw_ev_per_fu=-8.69 magnetic_moment_mub_per_fu=0.00 spacegroup="Pmn2_1 (31)" pbc="T T T"
Pa 0.0000 1.7771 0.0000
Pa 6.0161 7.6757 2.7404
I 0.0000 4.6243 4.1394
I 1.9063 4.5255 1.4281
I 4.1098 4.9274 4.1685
I 6.0161 4.8285 1.3991
I 7.9224 4.9274 4.1685
I 10.1259 4.5255 1.4281
Cl 0.0000 1.3579 2.6117
Cl 0.0000 8.7289 5.4440
Cl 2.4461 1.5329 5.0040
Cl 3.5700 7.9200 2.2637
Cl 6.0161 0.7239 2.7036
Cl 6.0161 8.0950 5.3520
Cl 8.4622 7.9200 2.2637
Cl 9.5861 1.5329 5.0040